Record 1
A plane-wave DFT calculation with GGA-PBEsol was carried out for an optimized crystal structure of MnAu2Se.

The value obtained for the uncorrected formation energy is 0.12 eV/atom. The value obtained for the total energy is -5.246 eV per atom.

Cell: 3.468 3.788 5.969 Å, 108.50 106.89 90.00°
Each line ends with the local moment (μB).
Fractional positions:
Au1 0.701 0.701 0.403  0.05
Au2 0.299 0.299 0.597  0.05
Mn1 0.000 0.500 0.000  3.86
Se1 0.500 0.000 0.000  0.05

Record 2
A plane-wave DFT calculation with GGA-PBEsol was carried out for an optimized crystal structure of YBe2H.

For the distance to the lowest polymorph of the same formula, the calculation gives 0.000 eV/atom. The value obtained for the total energy is -4.304 eV per atom.

Cell: 5.134 5.134 5.134 Å, 60.00 60.00 60.00°
Fractional positions:
Y1 0.750 0.750 0.750
Y2 0.500 0.500 0.500
Be1 0.125 0.125 0.625
Be2 0.125 0.125 0.125
Be3 0.625 0.125 0.125
Be4 0.125 0.625 0.125
H1 0.250 0.250 0.250
H2 0.000 0.000 0.000

Record 3
A plane-wave DFT calculation with GGA-PBEsol was carried out for an optimized crystal structure of Li3V2P4H2O16.

The value obtained for the total energy is -7.322 eV per atom.

Cell: 7.746 7.899 9.645 Å, 90.00 112.31 90.00°
Each line ends with the local moment (μB).
Fractional positions:
Li1 0.902 0.869 0.776  0.00
Li2 0.403 0.632 0.774  0.00
Li3 0.597 0.127 0.728  0.00
Li4 0.098 0.369 0.224  0.00
Li5 0.403 0.627 0.272  0.00
Li6 0.597 0.132 0.226  0.00
V1 0.757 0.495 0.750  1.36
V2 0.246 0.004 0.748  1.49
V3 0.754 0.504 0.252  1.49
V4 0.243 0.995 0.250  1.36
P1 0.984 0.153 0.935  0.01
P2 0.487 0.348 0.932  0.01
P3 0.011 0.651 0.567  0.01
P4 0.989 0.151 0.433  0.01
P5 0.514 0.841 0.566  0.01
P6 0.486 0.341 0.434  0.01
P7 0.016 0.653 0.065  0.01
P8 0.513 0.848 0.068  0.01
H1 0.258 0.490 0.989  0.00
H2 0.241 0.505 0.506  0.00
H3 0.759 0.005 0.494  0.00
H4 0.742 0.990 0.011  0.00
O1 0.806 0.047 0.904  0.00
O2 0.895 0.672 0.896  -0.01
O3 0.931 0.329 0.867  0.00
O4 0.097 0.052 0.860  -0.02
O5 0.307 0.451 0.904  0.00
O6 0.395 0.826 0.899  -0.01
O7 0.440 0.175 0.854  0.00
O8 0.595 0.454 0.858  -0.01
O9 0.902 0.544 0.641  -0.02
O10 0.059 0.823 0.649  -0.01
O11 0.111 0.168 0.599  -0.01
O12 0.200 0.565 0.592  0.00
O13 0.404 0.947 0.640  -0.01
O14 0.563 0.668 0.645  0.00
O15 0.800 0.065 0.408  0.00
O16 0.889 0.668 0.401  -0.01
O17 0.606 0.319 0.603  -0.01
O18 0.695 0.941 0.594  0.00
O19 0.941 0.323 0.351  -0.01
O20 0.098 0.044 0.359  -0.02
O21 0.305 0.441 0.406  0.00
O22 0.394 0.819 0.397  -0.01
O23 0.437 0.168 0.355  0.00
O24 0.596 0.447 0.360  -0.01
O25 0.903 0.552 0.140  -0.02
O26 0.069 0.829 0.133  0.00
O27 0.105 0.172 0.104  -0.01
O28 0.194 0.547 0.096  0.00
O29 0.405 0.954 0.142  -0.01
O30 0.560 0.675 0.146  0.00
O31 0.605 0.326 0.101  -0.01
O32 0.693 0.951 0.096  0.00

Record 4
A plane-wave DFT calculation with GGA-PBEsol was carried out for an optimized crystal structure of SiSbPt.

The value obtained for the uncorrected formation energy is -0.54 eV/atom. The value obtained for the total energy is -6.295 eV per atom.

Cell: 6.331 6.346 11.433 Å, 90.00 90.00 90.00°
Fractional positions:
Si1 0.853 0.264 0.926
Si2 0.353 0.236 0.074
Si3 0.147 0.764 0.574
Si4 0.647 0.736 0.426
Si5 0.147 0.736 0.074
Si6 0.647 0.764 0.926
Si7 0.853 0.236 0.426
Si8 0.353 0.264 0.574
Sb1 0.117 0.003 0.827
Sb2 0.617 0.497 0.173
Sb3 0.883 0.503 0.673
Sb4 0.383 0.997 0.327
Sb5 0.883 0.997 0.173
Sb6 0.383 0.503 0.827
Sb7 0.117 0.497 0.327
Sb8 0.617 0.003 0.673
Pt1 0.511 0.116 0.893
Pt2 0.011 0.384 0.107
Pt3 0.489 0.616 0.607
Pt4 0.989 0.884 0.393
Pt5 0.489 0.884 0.107
Pt6 0.989 0.616 0.893
Pt7 0.511 0.384 0.393
Pt8 0.011 0.116 0.607

Record 5
A plane-wave DFT calculation with GGA-PBEsol was carried out for an optimized crystal structure of ZnCo2Re.

The value obtained for the total energy is -7.686 eV per atom. The calculation puts the energy relative to the elements at -0.36 eV per formula unit.

Cell: 2.646 2.646 6.723 Å, 90.00 90.00 90.00°
Fractional positions:
Re1 0.500 0.500 0.000
Zn1 0.500 0.500 0.500
Co1 0.000 0.000 0.748
Co2 0.000 0.000 0.252

Record 6
A plane-wave DFT calculation with GGA-PBEsol was carried out for an optimized crystal structure of AlTcOs2.

The value obtained for the total energy is -9.967 eV per atom. The calculation puts the energy relative to the elements at -0.08 eV per formula unit.

Cell: 2.742 4.625 4.690 Å, 99.81 106.99 90.00°
Fractional positions:
Os1 0.244 0.250 0.488
Os2 0.756 0.750 0.512
Tc1 0.500 0.000 0.000
Al1 0.000 0.500 0.000

Record 7
A plane-wave DFT calculation with GGA-PBEsol was carried out for an optimized crystal structure of Re5Rh.

For the distance to the lowest polymorph of the same formula, the calculation gives 0.015 eV/atom. The value obtained for the total energy is -12.540 eV per atom. The calculation puts the energy relative to the elements at -0.44 eV per formula unit.

Cell: 2.747 4.390 7.292 Å, 90.00 100.86 90.00°
Fractional positions:
Re1 0.000 0.000 0.999
Re2 0.666 0.000 0.332
Re3 0.334 0.000 0.668
Re4 0.556 0.500 0.112
Re5 0.224 0.500 0.448
Rh1 0.887 0.500 0.774

Record 8
A plane-wave DFT calculation with GGA-PBEsol was carried out for an optimized crystal structure of CdPtPb.

The value obtained for the total energy is -4.248 eV per atom. The calculation puts the energy relative to the elements at -0.59 eV per formula unit.

Cell: 4.587 4.587 4.587 Å, 60.00 60.00 60.00°
Fractional positions:
Pb1 0.500 0.500 0.500
Pt1 0.250 0.250 0.250
Cd1 0.000 0.000 0.000

Record 9
A plane-wave DFT calculation with GGA-PBEsol was carried out for an optimized crystal structure of BaCa2Ir.

For the distance to the lowest polymorph of the same formula, the calculation gives 0.131 eV/atom. The value obtained for the total energy is -3.902 eV per atom. The calculation puts the energy relative to the elements at 0.63 eV per formula unit.

Cell: 5.279 5.279 5.279 Å, 60.00 60.00 60.00°
Fractional positions:
Ca1 0.250 0.250 0.250
Ca2 0.750 0.750 0.750
Ir1 0.500 0.500 0.500
Ba1 0.000 0.000 0.000

Record 10
A plane-wave DFT calculation with GGA-PBEsol was carried out for an optimized crystal structure of MgCd2Ag.

For the distance to the lowest polymorph of the same formula, the calculation gives 0.004 eV/atom. The value obtained for the total energy is -1.970 eV per atom. The calculation puts the energy relative to the elements at -0.46 eV per formula unit.

Cell: 3.515 3.515 6.214 Å, 90.00 90.00 90.00°
Fractional positions:
Mg1 0.000 0.000 0.515
Ag1 0.500 0.500 0.742
Cd1 0.000 0.000 0.990
Cd2 0.500 0.500 0.253

Record 11
A plane-wave DFT calculation with GGA-PBEsol was carried out for an optimized crystal structure of RbFeHg2Pd.

The value obtained for the total energy is -1.744 eV per atom. The calculation puts the energy relative to the elements at 8.36 eV per formula unit.

Cell: 5.138 6.055 6.055 Å, 90.00 90.00 90.00°
Each line ends with the local moment (μB).
Fractional positions:
Rb1 0.000 0.000 0.000  -0.01
Hg1 0.000 0.000 0.500  0.00
Hg2 0.000 0.500 0.000  0.00
Pd1 0.500 0.000 0.000  -0.03
Fe1 0.500 0.500 0.500  3.45

Record 12
A plane-wave DFT calculation with GGA-PBEsol was carried out for an optimized crystal structure of AgSbAu.

The value obtained for the uncorrected formation energy is -0.02 eV/atom. For the distance to the lowest polymorph of the same formula, the calculation gives 0.000 eV/atom. The value obtained for the total energy is -3.951 eV per atom.

Cell: 4.534 4.534 4.534 Å, 60.00 60.00 60.00°
Fractional positions:
Sb1 0.000 0.000 0.000
Au1 0.250 0.250 0.250
Ag1 0.500 0.500 0.500

Record 13
A plane-wave DFT calculation with GGA-PBEsol was carried out for an optimized crystal structure of InAsAu2.

The value obtained for the total energy is -3.848 eV per atom. The calculation puts the energy relative to the elements at 0.55 eV per formula unit.

Cell: 4.740 4.740 4.740 Å, 60.00 60.00 60.00°
Fractional positions:
As1 0.500 0.500 0.500
Au1 0.000 0.000 0.000
Au2 0.250 0.250 0.250
In1 0.750 0.750 0.750

Record 14
A plane-wave DFT calculation with GGA-PBEsol was carried out for an optimized crystal structure of Be5Tc.

For the distance to the lowest polymorph of the same formula, the calculation gives 0.146 eV/atom. The value obtained for the total energy is -5.204 eV per atom. The calculation puts the energy relative to the elements at 0.04 eV per formula unit.

Cell: 2.477 4.456 5.456 Å, 108.00 90.00 106.14°
Fractional positions:
Be1 0.994 0.987 0.932
Be2 0.306 0.613 0.617
Be3 0.623 0.246 0.296
Be4 0.636 0.272 0.745
Be5 0.969 0.938 0.469
Tc1 0.305 0.611 0.107

Record 15
A plane-wave DFT calculation with GGA-PBEsol was carried out for an optimized crystal structure of TiPd2SeS.

The value obtained for the uncorrected formation energy is 0.35 eV/atom. The value obtained for the total energy is -5.344 eV per atom.

Cell: 4.355 4.760 4.760 Å, 90.00 90.00 90.00°
Fractional positions:
S1 0.500 0.000 0.000
Se1 0.500 0.500 0.500
Pd1 0.000 0.000 0.500
Pd2 0.000 0.500 0.000
Ti1 0.000 0.000 0.000

Record 16
A plane-wave DFT calculation with GGA-PBEsol was carried out for an optimized crystal structure of SrCuSb.

The value obtained for the uncorrected formation energy is -0.71 eV/atom. The value obtained for the total energy is -4.283 eV per atom.

Cell: 4.467 4.467 8.741 Å, 90.00 90.00 120.00°
Fractional positions:
Sb1 0.333 0.667 0.250
Sb2 0.667 0.333 0.750
Cu1 0.333 0.667 0.750
Cu2 0.667 0.333 0.250
Sr1 0.000 0.000 0.000
Sr2 0.000 0.000 0.500

Record 17
A plane-wave DFT calculation with GGA-PBEsol was carried out for an optimized crystal structure of YMgNi2.

The value obtained for the total energy is -5.262 eV per atom. The calculation puts the energy relative to the elements at -0.19 eV per formula unit.

Cell: 3.163 3.154 6.893 Å, 90.00 90.00 90.00°
Fractional positions:
Mg1 0.500 0.500 0.822
Ni1 0.000 0.000 0.047
Ni2 0.500 0.500 0.195
Y1 0.000 0.000 0.436

Record 18
A plane-wave DFT calculation with GGA-PBEsol was carried out for an optimized crystal structure of ZnNi2Rh.

The value obtained for the total energy is -5.612 eV per atom. The calculation puts the energy relative to the elements at -0.41 eV per formula unit.

Cell: 3.578 3.578 3.690 Å, 90.00 90.00 90.00°
Each line ends with the local moment (μB).
Fractional positions:
Ni1 0.000 0.500 0.000  0.26
Ni2 0.500 0.000 0.000  0.26
Zn1 0.000 0.000 0.500  0.00
Rh1 0.500 0.500 0.500  0.11

Record 19
A plane-wave DFT calculation with GGA-PBEsol was carried out for an optimized crystal structure of CuNiRh2.

The value obtained for the total energy is -6.574 eV per atom. The calculation puts the energy relative to the elements at 0.47 eV per formula unit.

Cell: 2.627 4.426 4.426 Å, 107.34 90.00 90.00°
Fractional positions:
Ni1 0.500 0.500 0.500
Rh1 0.000 0.500 0.000
Rh2 0.000 0.000 0.500
Cu1 0.500 0.000 0.000

Record 20
A plane-wave DFT calculation with GGA-PBEsol was carried out for an optimized crystal structure of CaNi2Br.

The value obtained for the uncorrected formation energy is -0.23 eV/atom. For the distance to the lowest polymorph of the same formula, the calculation gives 0.000 eV/atom. The value obtained for the total energy is -4.307 eV per atom.

Cell: 3.863 3.863 6.411 Å, 90.11 90.00 120.00°
Each line ends with the local moment (μB).
Fractional positions:
Br1 0.376 0.752 0.499  0.02
Ca1 0.709 0.418 0.206  -0.02
Ni1 0.041 0.082 0.917  0.50
Ni2 0.374 0.748 0.878  0.55